(1)
! Cs2HoTiS4, optimized geometry, DFT PBE-GGA; values from VASP
! Symmetry = Fddd (70)
! D(E_F) = 5.897 states/eV per cell
&SYSTEM
  ibrav = 0, nat = 16, ntyp = 4
/
ATOMIC_SPECIES
Cs 132.91 Cs.upf
Ho 164.93 Ho.upf
Ti 47.87 Ti.upf
S 32.06 S.upf
CELL_PARAMETERS angstrom
-3.9521 -4.9552 -0.2126
1.1636 -5.2404 5.9214
-10.4490 3.9640 7.2595
ATOMIC_POSITIONS crystal
Cs 0.9278 0.5000 0.1445
Ho 0.0000 0.0000 0.0000
Ti 0.2500 0.5000 0.5000
Cs 0.1778 0.0000 0.6445
S 0.2340 0.1886 0.9008
Cs 0.5722 0.5000 0.8555
S 0.4266 0.6886 0.4008
Ho 0.7500 0.5000 0.5000
Cs 0.8222 0.0000 0.3555
S 0.8848 0.6886 0.5992
S 0.5160 0.3114 0.5992
S 0.8652 0.8114 0.9008
Ti 0.5000 0.0000 0.0000
S 0.3234 0.8114 0.0992
S 0.5774 0.1886 0.0992
S 0.1726 0.3114 0.4008



(2)
! Cs2HoTmS4, optimized geometry, DFT PBE-GGA; values from VASP
! Symmetry = P2/m (10)
! D(E_F) = 0.000 states/eV per cell
&SYSTEM
  ibrav = 0, nat = 8, ntyp = 4
/
ATOMIC_SPECIES
Cs 132.91 Cs.upf
S 32.06 S.upf
Tm 168.93 Tm.upf
Ho 164.93 Ho.upf
CELL_PARAMETERS angstrom
4.0709 0.0000 0.0000
0.0000 7.0496 0.1150
0.0000 -2.4822 8.0158
ATOMIC_POSITIONS crystal
Cs 0.5000 0.0000 0.5000
S 0.5000 0.7753 0.8202
Cs 0.0000 0.5000 0.5000
Tm 0.0000 0.0000 0.0000
S 0.0000 0.7287 0.1805
Ho 0.5000 0.5000 0.0000
S 0.5000 0.2247 0.1798
S 0.0000 0.2713 0.8195



(3)
! Cs3HoTm2S6, optimized geometry, DFT PBE-GGA; values from VASP
! Symmetry = C2/m (12)
! D(E_F) = 0.000 states/eV per cell
&SYSTEM
  ibrav = 0, nat = 12, ntyp = 4
/
ATOMIC_SPECIES
Tm 168.93 Tm.upf
S 32.06 S.upf
Cs 132.91 Cs.upf
Ho 164.93 Ho.upf
CELL_PARAMETERS angstrom
7.0403 -0.0010 0.0004
-3.5193 6.0976 0.0004
-1.1739 -2.0326 8.0521
ATOMIC_POSITIONS crystal
Tm 0.6667 0.3333 0.0000
Tm 0.3333 0.6667 0.0000
S 0.2755 0.2755 0.8201
S 0.9400 0.6045 0.8200
S 0.0600 0.3955 0.1800
Cs 0.1664 0.8336 0.5000
Cs 0.8336 0.1664 0.5000
S 0.3955 0.0600 0.1800
S 0.6045 0.9400 0.8200
S 0.7245 0.7245 0.1799
Cs 0.5000 0.5000 0.5000
Ho 0.0000 0.0000 0.0000



(4)
! Cs2HoUS6, optimized geometry, DFT PBE-GGA; values from VASP
! Symmetry = Pmmn (59)
! D(E_F) = 14.082 states/eV per cell
&SYSTEM
  ibrav = 0, nat = 20, ntyp = 4
/
ATOMIC_SPECIES
S 32.06 S.upf
Cs 132.91 Cs.upf
Ho 164.93 Ho.upf
U 238.03 U.upf
CELL_PARAMETERS angstrom
7.4589 0.0000 0.0000
0.0000 7.4602 0.0000
0.0000 0.0000 10.5481
ATOMIC_POSITIONS crystal
S 0.0000 0.7502 0.2421
Cs 0.5000 0.7499 0.7500
S 0.7580 0.9926 0.0000
S 0.2579 0.4916 0.5000
Cs 0.0000 0.2501 0.2500
Ho 0.0000 0.7496 0.5000
Cs 0.5000 0.7499 0.2500
S 0.7420 0.0074 0.5000
S 0.2420 0.9926 0.0000
S 0.5000 0.2498 0.2579
S 0.5000 0.2498 0.7421
Ho 0.5000 0.2504 0.0000
S 0.2580 0.0074 0.5000
S 0.7421 0.4916 0.5000
S 0.2421 0.5084 0.0000
S 0.0000 0.7502 0.7579
Cs 0.0000 0.2501 0.7500
U 0.5000 0.2496 0.5000
U 0.0000 0.7504 0.0000
S 0.7579 0.5084 0.0000



(5)
! Cs3HoU3S8, optimized geometry, DFT PBE-GGA; values from VASP
! Symmetry = R-3m (166)
! D(E_F) = 14.530 states/eV per cell
&SYSTEM
  ibrav = 0, nat = 15, ntyp = 4
/
ATOMIC_SPECIES
S 32.06 S.upf
Ho 164.93 Ho.upf
U 238.03 U.upf
Cs 132.91 Cs.upf
CELL_PARAMETERS angstrom
8.1029 0.0000 0.0000
-4.0515 7.0173 -0.0274
0.0000 -4.6487 8.2402
ATOMIC_POSITIONS crystal
S 0.7271 0.4541 0.6811
Ho 0.0000 0.0000 0.5000
S 0.7262 0.9521 0.6779
S 0.2729 0.5459 0.3189
S 0.7741 0.0479 0.3221
U 0.5000 0.5000 0.5000
S 0.7741 0.5482 0.3221
U 0.0000 0.5000 0.5000
S 0.2259 0.9521 0.6779
U 0.5000 0.0000 0.5000
Cs 0.0000 0.5000 0.0000
S 0.2259 0.4518 0.6779
S 0.2738 0.0479 0.3221
Cs 0.0000 0.0000 0.0000
Cs 0.5000 0.5000 0.0000



(6)
! Cs2Ho2US6, optimized geometry, DFT PBE-GGA; values from VASP
! Symmetry = C2/m (12)
! D(E_F) = 6.864 states/eV per cell
&SYSTEM
  ibrav = 0, nat = 11, ntyp = 4
/
ATOMIC_SPECIES
S 32.06 S.upf
Cs 132.91 Cs.upf
Ho 164.93 Ho.upf
U 238.03 U.upf
CELL_PARAMETERS angstrom
-4.5216 -2.2051 4.8402
1.3033 -3.9382 -5.6148
7.2449 -1.6348 4.3075
ATOMIC_POSITIONS crystal
S 0.2685 0.2685 0.3242
Cs 0.1685 0.8315 0.0000
S 0.3895 0.0589 0.6762
Cs 0.8315 0.1685 0.0000
Ho 0.6666 0.3334 0.5000
U 0.0000 0.0000 0.5000
S 0.6105 0.9411 0.3238
S 0.9411 0.6105 0.3238
Ho 0.3334 0.6666 0.5000
S 0.0589 0.3895 0.6762
S 0.7315 0.7315 0.6758



Size of the total moment (computed, μB/cell): 2.0 0.0 0.0 0.0 8.0 2.0
Formation energy without anion corrections (computed, meV per atom): -1413 -1829 -1829 -1364 -1514 -1743
Uncorrected energy (computed, eV per cell): -83.99 -41.90 -62.79 -111.95 -96.73 -66.09